1.
Compound: Mg2CdAs
Source: Alexandria via LeMat-Bulk
Functional: GGA-PBEsol
Structure: relaxed

abc: 3.1377 5.1123 5.1123
angles: 105.11 90.00 90.00
Sites, in units of the cell vectors:
Mg  0.0000  0.0000  0.5000
Mg  0.0000  0.5000  0.0000
Cd  0.5000  0.0000  0.0000
As  0.5000  0.5000  0.5000

Properties
density: 4.9 g/cm3
VASP energy: -10.4 eV per cell
energy relative to the elements: -178 meV/atom
excess energy over the best structure of this formula in the dataset: 0.032 eV/atom
space group: Cmmm, No. 65

=====

2.
Compound: Sr2MoCl
Source: Alexandria via LeMat-Bulk
Functional: GGA-PBEsol
Structure: relaxed

abc: 4.3800 4.3800 6.2166
angles: 90.00 90.00 90.00
Each line ends with the local moment (μB).
Sites, in units of the cell vectors:
Cl  0.0000  0.0000  0.3753  0.00
Sr  0.5000  0.5000  0.3744  0.00
Sr  0.0000  0.0000  0.8759  0.06
Mo  0.5000  0.5000  0.8744  2.76

Properties
density: 4.3 g/cm3
energy relative to the elements, uncorrected: 0.19 eV/atom
VASP energy: -16.7 eV per cell
excess energy over the best structure of this formula in the dataset: 0.276 eV/atom
space group: P4mm, No. 99

=====

3.
Compound: SrCoP2
Source: Alexandria via LeMat-Bulk
Functional: GGA-PBEsol
Structure: relaxed

abc: 4.5984 4.5984 4.5984
angles: 60.00 60.00 60.00
Each line ends with the local moment (μB).
Sites, in units of the cell vectors:
Co  0.0000  0.0000  0.0000  1.49
P  0.7500  0.7500  0.7500  -0.04
P  0.2500  0.2500  0.2500  -0.04
Sr  0.5000  0.5000  0.5000  0.01

Properties
density: 5.0 g/cm3
VASP energy: -20.7 eV per cell
energy relative to the elements: 115 meV/atom
excess energy over the best structure of this formula in the dataset: 0.362 eV/atom
space group: Fm-3m, No. 225

=====

4.
Compound: MgTi2Nb2Pb5O15
Source: Alexandria via LeMat-Bulk
Functional: GGA-PBEsol
Structure: relaxed

abc: 5.6226 5.7405 11.9680
angles: 102.95 90.00 119.32
Sites, in units of the cell vectors:
Pb  0.1727  0.3455  0.6014
Pb  0.9729  0.9458  0.9906
Pb  0.7693  0.5386  0.3957
Pb  0.3654  0.7309  0.2008
Pb  0.5751  0.1502  0.8027
O  0.7230  0.9400  0.6040
O  0.3180  0.6359  0.4075
O  0.1155  0.7389  0.7987
O  0.3242  0.1368  0.4089
O  0.5041  0.0081  0.9866
O  0.0140  0.5345  0.0017
O  0.5206  0.5345  0.0017
O  0.6234  0.7389  0.7987
O  0.2170  0.9400  0.6040
O  0.8126  0.1368  0.4089
O  0.1165  0.2331  0.7965
O  0.9096  0.8192  0.2017
O  0.7168  0.4335  0.6003
O  0.4110  0.3404  0.2132
O  0.9294  0.3404  0.2132
Nb  0.2996  0.5991  0.9051
Nb  0.0886  0.1772  0.2972
Ti  0.8897  0.7794  0.6932
Ti  0.4901  0.9802  0.5041
Mg  0.6939  0.3878  0.1001

Properties
density: 8.1 g/cm3
energy relative to the elements, uncorrected: -2.16 eV/atom
VASP energy: -192.7 eV per cell
space group: Cm, No. 8

=====

5.
Compound: GeH2IrAu
Source: Alexandria via LeMat-Bulk
Functional: GGA-PBEsol
Structure: relaxed

abc: 3.6363 3.6363 4.9781
angles: 90.00 90.00 90.00
Sites, in units of the cell vectors:
H  0.5000  0.0000  0.0000
H  0.0000  0.5000  0.0000
Au  0.5000  0.5000  0.5000
Ge  0.0000  0.0000  0.0000
Ir  0.0000  0.0000  0.5000

Properties
density: 11.7 g/cm3
VASP energy: -22.1 eV per cell
space group: P4/mmm, No. 123

=====

6.
Compound: ZrMnBe2
Source: Alexandria via LeMat-Bulk
Functional: GGA-PBEsol
Structure: relaxed

abc: 4.1332 4.1332 4.1332
angles: 60.00 60.00 60.00
Each line ends with the local moment (μB).
Sites, in units of the cell vectors:
Be  0.7500  0.7500  0.7500  -0.02
Be  0.0000  0.0000  0.0000  -0.02
Zr  0.2500  0.2500  0.2500  -0.07
Mn  0.5000  0.5000  0.5000  1.46

Properties
density: 5.5 g/cm3
VASP energy: -25.8 eV per cell
energy relative to the elements: 264 meV/atom
excess energy over the best structure of this formula in the dataset: 0.054 eV/atom
space group: F-43m, No. 216

=====

7.
Compound: NaLaHfTa2
Source: Alexandria via LeMat-Bulk
Functional: GGA-PBEsol
Structure: relaxed

abc: 4.8736 4.8736 4.9455
angles: 90.00 90.00 90.00
Sites, in units of the cell vectors:
Hf  0.0000  0.0000  0.5000
Na  0.0000  0.0000  0.0000
Ta  0.5000  0.0000  0.0000
Ta  0.0000  0.5000  0.0000
La  0.5000  0.5000  0.5000

Properties
density: 9.9 g/cm3
VASP energy: -33.0 eV per cell
energy relative to the elements: 1873 meV/atom
space group: P4/mmm, No. 123

=====

8.
Compound: Sc2FeNiPb
Source: Alexandria via LeMat-Bulk
Functional: GGA-PBEsol
Structure: relaxed

abc: 4.7287 4.7372 4.7372
angles: 90.00 90.00 90.00
Each line ends with the local moment (μB).
Sites, in units of the cell vectors:
Sc  0.0000  0.5000  0.0000  -0.16
Sc  0.0000  0.0000  0.5000  -0.16
Fe  0.5000  0.5000  0.5000  2.90
Pb  0.5000  0.0000  0.0000  -0.02
Ni  0.0000  0.0000  0.0000  -0.05

Properties
density: 6.4 g/cm3
VASP energy: -30.3 eV per cell
energy relative to the elements: 405 meV/atom
space group: P4/mmm, No. 123

=====

9.
Compound: KRb2AsN
Source: Alexandria via LeMat-Bulk
Functional: GGA-PBEsol
Structure: relaxed

abc: 5.4211 6.9892 6.9892
angles: 90.00 90.00 90.00
Each line ends with the local moment (μB).
Sites, in units of the cell vectors:
Rb  0.0000  0.0000  0.5000  0.00
Rb  0.0000  0.5000  0.0000  0.00
N  0.5000  0.5000  0.5000  1.55
As  0.5000  0.0000  0.0000  0.08
K  0.0000  0.0000  0.0000  0.00

Properties
density: 1.9 g/cm3
energy relative to the elements, uncorrected: 1.18 eV/atom
VASP energy: -10.9 eV per cell
space group: P4/mmm, No. 123

=====

10.
Compound: YCoPb
Source: Alexandria via LeMat-Bulk
Functional: GGA-PBEsol
Structure: relaxed

abc: 4.7524 4.7524 4.7524
angles: 60.00 60.00 60.00
Each line ends with the local moment (μB).
Sites, in units of the cell vectors:
Y  0.7500  0.7500  0.7500  -0.12
Co  0.0000  0.0000  0.0000  1.34
Pb  0.5000  0.5000  0.5000  -0.02

Properties
density: 7.8 g/cm3
VASP energy: -16.7 eV per cell
energy relative to the elements: 626 meV/atom
space group: F-43m, No. 216

=====

11.
Compound: TlCrTc
Source: Alexandria via LeMat-Bulk
Functional: GGA-PBEsol
Structure: relaxed

abc: 3.0205 3.0205 6.4608
angles: 90.00 90.00 120.00
Sites, in units of the cell vectors:
Cr  0.0000  0.0000  0.9520
Tc  0.3333  0.6667  0.7210
Tl  0.6667  0.3333  0.3270

Properties
density: 11.5 g/cm3
VASP energy: -22.4 eV per cell
energy relative to the elements: 581 meV/atom
excess energy over the best structure of this formula in the dataset: 0.000 eV/atom
space group: P3m1, No. 156

=====

12.
Compound: KCd2Rh
Source: Alexandria via LeMat-Bulk
Functional: GGA-PBEsol
Structure: relaxed

abc: 3.1833 5.0314 5.0314
angles: 90.00 90.00 90.00
Sites, in units of the cell vectors:
Cd  0.0000  0.5000  0.0000
Cd  0.0000  0.0000  0.5000
K  0.5000  0.5000  0.5000
Rh  0.5000  0.0000  0.0000

Properties
density: 7.6 g/cm3
VASP energy: -10.3 eV per cell
energy relative to the elements: 343 meV/atom
excess energy over the best structure of this formula in the dataset: 0.215 eV/atom
space group: P4/mmm, No. 123

=====

13.
Compound: ZrAlIr2
Source: Alexandria via LeMat-Bulk
Functional: GGA-PBEsol
Structure: relaxed

abc: 2.9978 3.4920 5.9337
angles: 90.00 90.00 90.00
Sites, in units of the cell vectors:
Al  0.5000  0.5000  0.5000
Ir  0.0000  0.0000  0.2651
Ir  0.0000  0.0000  0.7349
Zr  0.5000  0.5000  0.0000

Properties
density: 13.4 g/cm3
VASP energy: -36.3 eV per cell
energy relative to the elements: -857 meV/atom
space group: Pmmm, No. 47

=====

14.
Compound: TcPbW2
Source: Alexandria via LeMat-Bulk
Functional: GGA-PBEsol
Structure: relaxed

abc: 2.9641 2.9641 7.8520
angles: 90.00 90.00 90.00
Sites, in units of the cell vectors:
Pb  0.5000  0.5000  0.0000
W  0.0000  0.0000  0.7124
W  0.0000  0.0000  0.2876
Tc  0.5000  0.5000  0.5000

Properties
density: 16.2 g/cm3
VASP energy: -40.3 eV per cell
energy relative to the elements: 642 meV/atom
space group: P4/mmm, No. 123

=====

15.
Compound: BeAl2Tc
Source: Alexandria via LeMat-Bulk
Functional: GGA-PBEsol
Structure: relaxed

abc: 3.2353 3.9773 3.9773
angles: 90.00 90.00 90.00
Sites, in units of the cell vectors:
Al  0.0000  0.5000  0.0000
Al  0.0000  0.0000  0.5000
Be  0.5000  0.5000  0.5000
Tc  0.5000  0.0000  0.0000

Properties
density: 5.2 g/cm3
VASP energy: -24.2 eV per cell
energy relative to the elements: -192 meV/atom
space group: P4/mmm, No. 123

=====

16.
Compound: BaAl2
Source: Alexandria via LeMat-Bulk
Functional: GGA-PBEsol
Structure: relaxed

abc: 3.5800 3.5800 6.7300
angles: 105.43 105.43 90.00
Sites, in units of the cell vectors:
Al  0.7000  0.7000  0.3999
Al  0.3000  0.3000  0.6001
Ba  0.0000  0.0000  0.0000

Properties
density: 4.0 g/cm3
VASP energy: -10.4 eV per cell
energy relative to the elements: -8 meV/atom
space group: I4/mmm, No. 139

=====

17.
Compound: DyAlGe2O7
Source: Alexandria via LeMat-Bulk
Functional: GGA-PBEsol
Structure: relaxed

abc: 6.4847 7.0976 11.1487
angles: 83.60 90.00 90.00
Sites, in units of the cell vectors:
O  0.6182  0.2316  0.6888
O  0.8460  0.4108  0.0785
O  0.1845  0.4638  0.1886
O  0.3798  0.5622  0.7200
O  0.9442  0.3403  0.3702
O  0.4442  0.1597  0.1298
O  0.3320  0.4361  0.4747
O  0.6202  0.4378  0.2800
O  0.3460  0.0892  0.4215
O  0.1182  0.2684  0.8112
O  0.5039  0.6763  0.0783
O  0.9961  0.1763  0.5783
O  0.1540  0.5892  0.9215
O  0.8320  0.0639  0.0253
O  0.5558  0.8403  0.8702
O  0.6680  0.5639  0.5253
O  0.3818  0.7684  0.3112
O  0.8818  0.7316  0.1888
O  0.0039  0.8237  0.4217
O  0.1202  0.0622  0.2200
O  0.8155  0.5362  0.8114
O  0.1680  0.9361  0.9747
O  0.8798  0.9378  0.7800
O  0.0558  0.6597  0.6298
O  0.6540  0.9108  0.5785
O  0.4961  0.3237  0.9217
O  0.6845  0.0362  0.3114
O  0.3155  0.9638  0.6886
Ge  0.5884  0.4228  0.7747
Ge  0.3418  0.7597  0.9553
Ge  0.1582  0.2597  0.4553
Ge  0.6582  0.2403  0.0447
Ge  0.9116  0.9228  0.2747
Ge  0.4116  0.5772  0.2253
Ge  0.0884  0.0772  0.7253
Ge  0.8418  0.7403  0.5447
Dy  0.3530  0.7331  0.5276
Dy  0.1470  0.2331  0.0276
Dy  0.8530  0.7669  0.9724
Dy  0.6470  0.2669  0.4724
Al  0.9009  0.4799  0.2286
Al  0.5991  0.9799  0.7286
Al  0.0991  0.5201  0.7714
Al  0.4009  0.0201  0.2714

Properties
density: 5.8 g/cm3
energy relative to the elements, uncorrected: -2.48 eV/atom
VASP energy: -331.9 eV per cell
space group: P2_1/c, No. 14

=====

18.
Compound: CoSbBr2
Source: Alexandria via LeMat-Bulk
Functional: GGA-PBEsol
Structure: relaxed

abc: 4.8960 4.8960 4.8960
angles: 60.00 60.00 60.00
Each line ends with the local moment (μB).
Sites, in units of the cell vectors:
Sb  0.7500  0.7500  0.7500  -0.16
Br  0.0000  0.0000  0.0000  -0.07
Br  0.2500  0.2500  0.2500  -0.01
Co  0.5000  0.5000  0.5000  1.62

Properties
density: 6.8 g/cm3
energy relative to the elements, uncorrected: 0.65 eV/atom
VASP energy: -13.4 eV per cell
excess energy over the best structure of this formula in the dataset: 0.545 eV/atom
space group: F-43m, No. 216

=====

19.
Compound: TlSb5S8
Source: Alexandria via LeMat-Bulk
Functional: GGA-PBEsol
Structure: relaxed

abc: 8.0791 8.8572 19.1527
angles: 90.00 90.00 87.96
Sites, in units of the cell vectors:
Sb  0.2467  0.9625  0.2846
Sb  0.7467  0.4625  0.7154
Sb  0.7861  0.7995  0.9524
Sb  0.5255  0.0467  0.4565
Sb  0.4382  0.7346  0.6477
Sb  0.0878  0.7182  0.7736
Sb  0.9258  0.4787  0.1516
Sb  0.8107  0.0180  0.7328
Sb  0.1387  0.2691  0.7892
Sb  0.4877  0.5314  0.8651
Sb  0.9382  0.2346  0.3523
Sb  0.9877  0.0314  0.1349
Sb  0.4153  0.2133  0.6341
Sb  0.2861  0.2995  0.0476
Sb  0.0255  0.5467  0.5435
Sb  0.5878  0.2182  0.2264
Sb  0.4258  0.9787  0.8484
Sb  0.6387  0.7691  0.2108
Sb  0.3107  0.5180  0.2672
Sb  0.9153  0.7133  0.3659
S  0.5926  0.1961  0.7731
S  0.9578  0.2646  0.6761
S  0.8053  0.7142  0.4914
S  0.4519  0.9706  0.1652
S  0.9894  0.0490  0.8420
S  0.6035  0.0010  0.5998
S  0.9519  0.4706  0.8348
S  0.2688  0.7166  0.5373
S  0.1035  0.5010  0.4002
S  0.5687  0.9962  0.9665
S  0.7700  0.2293  0.1100
S  0.3053  0.2142  0.5086
S  0.7688  0.2166  0.4627
S  0.1500  0.2998  0.1944
S  0.0926  0.6961  0.2269
S  0.3994  0.1745  0.3441
S  0.8359  0.8079  0.0859
S  0.2929  0.5327  0.7238
S  0.0990  0.9193  0.4017
S  0.0687  0.4962  0.0335
S  0.2540  0.9256  0.7081
S  0.4894  0.5490  0.1580
S  0.1187  0.0782  0.0172
S  0.8994  0.6745  0.6559
S  0.4578  0.7646  0.3239
S  0.3359  0.3079  0.9141
S  0.6187  0.5782  0.9828
S  0.7929  0.0327  0.2762
S  0.7540  0.4256  0.2919
S  0.6500  0.7998  0.8056
S  0.2700  0.7293  0.8900
S  0.5990  0.4193  0.5983
Tl  0.3134  0.7653  0.0516
Tl  0.0055  0.9946  0.5540
Tl  0.8134  0.2653  0.9484
Tl  0.5055  0.4946  0.4460

Properties
density: 5.2 g/cm3
energy relative to the elements, uncorrected: -0.29 eV/atom
VASP energy: -258.1 eV per cell
space group: Pc, No. 7

=====

20.
Compound: SrCrRe
Source: Alexandria via LeMat-Bulk
Functional: GGA-PBEsol
Structure: relaxed

abc: 3.1460 3.1470 6.4129
angles: 104.20 104.20 90.00
Each line ends with the local moment (μB).
Sites, in units of the cell vectors:
Re  0.6257  0.6257  0.2513  -0.25
Cr  0.0437  0.0437  0.0874  1.30
Sr  0.3307  0.3307  0.6613  0.05

Properties
density: 9.1 g/cm3
VASP energy: -23.3 eV per cell
energy relative to the elements: 719 meV/atom
excess energy over the best structure of this formula in the dataset: 0.000 eV/atom
space group: I4mm, No. 107